The following is a PBE-GGA calculation of a geometry-optimized CrAuSe2 structure, from Alexandria.

Cell and atoms, written as extended XYZ:
```
4
Lattice="3.012 0.008 0.000 -0.008 3.012 0.000 0.000 0.000 9.008" Properties=species:S:1:pos:R:3 pbc="T T T"
Se 0.000 0.000 8.162
Se 1.502 1.510 2.633
Cr 1.502 1.510 6.831
Au 0.000 0.000 4.895
```

- E_tot: -4.8947 eV/atom
- Formation energy without anion corrections: 0.07 eV/atom
- Spin magnetization: 2.802 Bohr magnetons per cell
- Space-group type: No. 99